w | PBE PmIn4Pd2, optimized geometry; space-group type = Pnma; V = 619.2 Å³ per cell
1.0
18.6518 0.0000 0.0000
0.0000 4.6081 0.0000
0.0000 0.0000 7.2047
Pm In Pd
4 16 8
direct
0.1413 0.2500 0.0192 Pm
0.3587 0.7500 0.5192 Pm
0.6413 0.2500 0.4808 Pm
0.8587 0.7500 0.9808 Pm
0.0343 0.7500 0.8502 In
0.0703 0.2500 0.4957 In
0.1856 0.7500 0.3180 In
0.1917 0.7500 0.7320 In
0.3083 0.2500 0.2320 In
0.3144 0.2500 0.8180 In
0.4297 0.7500 0.9957 In
0.4657 0.2500 0.3502 In
0.5343 0.7500 0.6498 In
0.5703 0.2500 0.0043 In
0.6856 0.7500 0.1820 In
0.6917 0.7500 0.7680 In
0.8083 0.2500 0.2680 In
0.8144 0.2500 0.6820 In
0.9297 0.7500 0.5043 In
0.9657 0.2500 0.1498 In
0.0397 0.7500 0.2451 Pd
0.2168 0.2500 0.5289 Pd
0.2832 0.7500 0.0289 Pd
0.4603 0.2500 0.7451 Pd
0.5397 0.7500 0.2549 Pd
0.7168 0.2500 0.9711 Pd
0.7832 0.7500 0.4711 Pd
0.9603 0.2500 0.7549 Pd

x | PBE PmIn4Pd2, optimized geometry; space-group type = P4_2/mnm; V = 319.1 Å³ per cell
1.0
9.1955 0.0000 0.0000
0.0000 9.1955 0.0000
0.0000 0.0000 3.7737
Pm In Pd
2 8 4
direct
0.0000 0.0000 0.0000 Pm
0.5000 0.5000 0.5000 Pm
0.0768 0.3126 0.5000 In
0.1874 0.5768 0.0000 In
0.3126 0.0768 0.5000 In
0.4232 0.8126 0.0000 In
0.5768 0.1874 0.0000 In
0.6874 0.9232 0.5000 In
0.8126 0.4232 0.0000 In
0.9232 0.6874 0.5000 In
0.1962 0.8038 0.5000 Pd
0.3038 0.3038 0.0000 Pd
0.6962 0.6962 0.0000 Pd
0.8038 0.1962 0.5000 Pd

Which of them is most stable, and which least? Most stable: w; least stable: x.

w | PBE Pr2InPd, optimized geometry; space-group type = R-3m; V = 138.0 Å³ per cell
1.0
1.9717 1.1383 10.2474
-1.9717 1.1383 10.2474
0.0000 -2.2767 10.2474
Pr In Pd
2 1 1
direct
0.1078 0.1078 0.1078 Pr
0.8922 0.8922 0.8922 Pr
0.0000 0.0000 0.0000 In
0.5000 0.5000 0.5000 Pd

x | PBE Pr2InPd, optimized geometry; space-group type = Fm-3m; V = 109.5 Å³ per cell
1.0
0.0000 3.7973 3.7973
3.7973 0.0000 3.7973
3.7973 3.7973 0.0000
Pr In Pd
2 1 1
direct
0.2500 0.2500 0.2500 Pr
0.7500 0.7500 0.7500 Pr
0.0000 0.0000 0.0000 In
0.5000 0.5000 0.5000 Pd

y | PBE Pr2InPd, optimized geometry; space-group type = P4/mmm; V = 108.0 Å³ per cell
1.0
3.6854 0.0000 0.0000
0.0000 3.6854 0.0000
0.0000 0.0000 7.9543
Pr In Pd
2 1 1
direct
0.0000 0.0000 0.2247 Pr
0.0000 0.0000 0.7753 Pr
0.5000 0.5000 0.5000 In
0.5000 0.5000 0.0000 Pd

Which of them is most stable, and which least? Most stable: y; least stable: w.